## Li12Pt2Au (GGA-PBE)

Data for Li12Pt2Au after structural relaxation.

a = 5.4233 Å, b = 8.4293 Å, c = 22.5221 Å
α = 90.00°, β = 90.00°, γ = 90.00°
Space group Cmme (No. 67)
One atom of each set of equivalent atoms:
Li  0.0000  0.0575  0.0582
Li  0.0000  0.0731  0.5557
Li  0.2360  0.2500  0.3534
Li  0.2374  0.2500  0.8590
Li  0.2500  0.0000  0.1954
Li  0.2500  0.0000  0.2969
Pt  0.0000  0.2500  0.2467
Pt  0.0000  0.2500  0.7518
Au  0.0000  0.2500  0.4555

- M_tot: 0.0 μB/cell
- E: -2.80 eV per atom

---

## Li7PtAu2 (GGA-PBE)

Data for Li7PtAu2 after structural relaxation.

a = 4.3484 Å, b = 4.3484 Å, c = 9.8229 Å
α = 90.00°, β = 90.00°, γ = 120.00°
Space group P3m1 (No. 156)
One atom of each set of equivalent atoms:
Li  0.0000  0.0000  0.0000
Li  0.0000  0.0000  0.2373
Li  0.0000  0.0000  0.4900
Li  0.3333  0.6667  0.0647
Li  0.3333  0.6667  0.6438
Li  0.6667  0.3333  0.4136
Li  0.6667  0.3333  0.8555
Pt  0.6667  0.3333  0.1400
Au  0.0000  0.0000  0.7442
Au  0.3333  0.6667  0.3424

- M_tot: 0.0 μB/cell
- E: -2.98 eV per atom

---

## LiPtAu2 (GGA-PBE)

Data for LiPtAu2 after structural relaxation.

a = 2.8237 Å, b = 4.7844 Å, c = 9.7781 Å
α = 90.00°, β = 90.00°, γ = 90.00°
Space group Cmm2 (No. 35)
One atom of each set of equivalent atoms:
Li  0.0000  0.0000  0.0000
Pt  0.0000  0.5000  0.7859
Au  0.0000  0.0000  0.5164
Au  0.0000  0.5000  0.2340

- M_tot: 0.0 μB/cell
- E: -3.85 eV per atom

---

## Li5PtAu8 (GGA-PBE)

Data for Li5PtAu8 after structural relaxation.

a = 7.7905 Å, b = 7.7905 Å, c = 7.7501 Å
α = 90.00°, β = 90.00°, γ = 90.00°
Space group I-4 (No. 82)
One atom of each set of equivalent atoms:
Li  0.0000  0.0000  0.0000
Li  0.1284  0.2216  0.5911
Pt  0.0000  0.5000  0.2500
Au  0.0711  0.3345  0.9189
Au  0.0930  0.1628  0.2595

- M_tot: 0.0 μB/cell
- E: -3.29 eV per atom

---

## Li10PtAu6 (GGA-PBE)

Data for Li10PtAu6 after structural relaxation.

a = 7.6388 Å, b = 7.6388 Å, c = 5.3578 Å
α = 90.00°, β = 90.00°, γ = 120.00°
Space group P-31m (No. 162)
One atom of each set of equivalent atoms:
Li  0.0000  0.2859  0.3193
Li  0.3333  0.6667  0.0000
Li  0.3333  0.6667  0.5000
Pt  0.0000  0.0000  0.0000
Au  0.0000  0.3581  0.8174

- M_tot: 0.0 μB/cell
- E: -3.10 eV per atom

---

## LiPtAu3 (GGA-PBE)

Data for LiPtAu3 after structural relaxation.

a = 4.8143 Å, b = 4.8200 Å, c = 7.8281 Å
α = 85.32°, β = 72.26°, γ = 74.74°
Space group P-1 (No. 2)
One atom of each set of equivalent atoms:
Li  0.1555  0.2495  0.1909
Pt  0.3511  0.2492  0.7992
Au  0.0574  0.7501  0.3856
Au  0.2507  0.7490  0.9959
Au  0.4480  0.7500  0.6047

- Relative energy among the computed polymorphs: 0.0000 eV per atom
- M_tot: 0.0 μB/cell
- E: -3.81 eV per atom

---

## Li4PtAu (GGA-PBE)

Data for Li4PtAu after structural relaxation.

a = 6.8739 Å, b = 6.8739 Å, c = 6.8739 Å
α = 90.00°, β = 90.00°, γ = 90.00°
Space group F-43m (No. 216)
One atom of each set of equivalent atoms:
Li  0.1241  0.1241  0.1241
Pt  0.2500  0.2500  0.7500
Au  0.0000  0.0000  0.5000

- Relative energy among the computed polymorphs: 0.2166 eV per atom
- M_tot: 0.0 μB/cell
- E: -3.11 eV per atom

---

## LiPtAu6 (GGA-PBE)

Data for LiPtAu6 after structural relaxation.

a = 5.6854 Å, b = 5.6854 Å, c = 4.2514 Å
α = 90.00°, β = 90.00°, γ = 90.00°
Space group P4/mmm (No. 123)
One atom of each set of equivalent atoms:
Li  0.0000  0.0000  0.0000
Pt  0.5000  0.5000  0.0000
Au  0.0000  0.5000  0.0000
Au  0.2480  0.2480  0.5000

- M_tot: 0.0 μB/cell
- E: -3.61 eV per atom

---

## LiPt2Au (GGA-PBE)

Data for LiPt2Au after structural relaxation.

a = 2.7384 Å, b = 4.1791 Å, c = 5.4913 Å
α = 90.00°, β = 90.00°, γ = 90.00°
Space group Pmmm (No. 47)
One atom of each set of equivalent atoms:
Li  0.0000  0.0000  0.0000
Pt  0.5000  0.5000  0.2404
Au  0.0000  0.0000  0.5000

- M_tot: 0.0 μB/cell
- E: -4.56 eV per atom

---

## Li6PtAu8 (GGA-PBE)

Data for Li6PtAu8 after structural relaxation.

a = 7.2259 Å, b = 7.2259 Å, c = 16.7875 Å
α = 90.00°, β = 90.00°, γ = 120.00°
Space group R-3 (No. 148, hexagonal axes)
One atom of each set of equivalent atoms:
Li  0.0129  0.2665  0.2103
Pt  0.0000  0.0000  0.5000
Au  0.0000  0.0000  0.0954
Au  0.0415  0.7833  0.6288

- Relative energy among the computed polymorphs: 0.0000 eV per atom
- M_tot: 0.0 μB/cell
- E: -3.30 eV per atom

---

## Li4Pt3Au2 (GGA-PBE)

Data for Li4Pt3Au2 after structural relaxation.

a = 5.2018 Å, b = 9.3262 Å, c = 6.5214 Å
α = 90.00°, β = 113.12°, γ = 90.00°
Space group C2/m (No. 12)
One atom of each set of equivalent atoms:
Li  0.1768  0.1415  0.3547
Pt  0.0000  0.0000  0.0000
Pt  0.2500  0.2500  0.0000
Au  0.1223  0.5000  0.2457

- M_tot: 0.0 μB/cell
- E: -3.94 eV per atom

---

## LiPtAu2 (GGA-PBE)

Data for LiPtAu2 after structural relaxation.

a = 2.8187 Å, b = 2.8187 Å, c = 8.0891 Å
α = 90.00°, β = 90.00°, γ = 90.00°
Space group P4/mmm (No. 123)
One atom of each set of equivalent atoms:
Li  0.0000  0.0000  0.0000
Pt  0.0000  0.0000  0.5000
Au  0.5000  0.5000  0.2373

- M_tot: 0.0 μB/cell
- E: -3.86 eV per atom

---

## LiPt2Au (GGA-PBE)

Data for LiPt2Au after structural relaxation.

a = 4.0120 Å, b = 4.0120 Å, c = 7.7132 Å
α = 90.00°, β = 90.00°, γ = 90.00°
Space group I-4m2 (No. 119)
One atom of each set of equivalent atoms:
Li  0.0000  0.0000  0.0000
Pt  0.0000  0.0000  0.5000
Pt  0.0000  0.5000  0.7500
Au  0.0000  0.5000  0.2500

- M_tot: 0.0 μB/cell
- E: -4.58 eV per atom

---

## Li2Pt2Au (GGA-PBE)

Data for Li2Pt2Au after structural relaxation.

a = 7.1815 Å, b = 7.1815 Å, c = 2.8809 Å
α = 90.00°, β = 90.00°, γ = 90.00°
Space group P4/mbm (No. 127)
One atom of each set of equivalent atoms:
Li  0.1652  0.3348  0.0000
Pt  0.1333  0.6333  0.5000
Au  0.0000  0.0000  0.5000

- Relative energy among the computed polymorphs: 0.0613 eV per atom
- M_tot: 0.0 μB/cell
- E: -4.16 eV per atom

---

## LiPtAu3 (GGA-PBE)

Data for LiPtAu3 after structural relaxation.

a = 5.1211 Å, b = 5.1211 Å, c = 5.1211 Å
α = 90.00°, β = 90.00°, γ = 90.00°
Space group Pm-3m (No. 221)
One atom of each set of equivalent atoms:
Li  0.0000  0.0000  0.0000
Pt  0.5000  0.5000  0.5000
Au  0.0000  0.5000  0.5000

- Relative energy among the computed polymorphs: 0.6307 eV per atom
- M_tot: 0.0 μB/cell
- E: -3.18 eV per atom

---

## Li4PtAu7 (GGA-PBE)

Data for Li4PtAu7 after structural relaxation.

a = 5.3420 Å, b = 5.6389 Å, c = 7.3031 Å
α = 103.40°, β = 93.19°, γ = 107.12°
Space group P-1 (No. 2)
One atom of each set of equivalent atoms:
Li  0.1736  0.1250  0.2201
Li  0.2324  0.6503  0.2194
Pt  0.0000  0.5000  0.5000
Au  0.2580  0.0093  0.5472
Au  0.2597  0.2980  0.9159
Au  0.2803  0.7845  0.8744
Au  0.5000  0.5000  0.5000

- M_tot: 0.0 μB/cell
- E: -3.38 eV per atom

---

## LiPt2Au (GGA-PBE)

Data for LiPt2Au after structural relaxation.

a = 2.7941 Å, b = 4.7288 Å, c = 9.4943 Å
α = 90.00°, β = 90.00°, γ = 90.00°
Space group Cmmm (No. 65)
One atom of each set of equivalent atoms:
Li  0.0000  0.0000  0.0000
Pt  0.0000  0.5000  0.2281
Au  0.0000  0.0000  0.5000

- M_tot: 0.0 μB/cell
- E: -4.57 eV per atom

---

## LiPtAu2 (GGA-PBE)

Data for LiPtAu2 after structural relaxation.

a = 5.9499 Å, b = 7.2164 Å, c = 3.0370 Å
α = 90.00°, β = 90.00°, γ = 90.00°
Space group Cmmm (No. 65)
One atom of each set of equivalent atoms:
Li  0.0000  0.0000  0.0000
Pt  0.0000  0.5000  0.0000
Au  0.2500  0.2500  0.5000

- M_tot: 0.0 μB/cell
- E: -3.98 eV per atom

---

## Li4PtAu (GGA-PBE)

Data for Li4PtAu after structural relaxation.

a = 2.7244 Å, b = 4.2784 Å, c = 7.4224 Å
α = 90.00°, β = 90.00°, γ = 90.00°
Space group Pmmm (No. 47)
One atom of each set of equivalent atoms:
Li  0.0000  0.0000  0.1607
Li  0.0000  0.5000  0.3268
Pt  0.5000  0.5000  0.0000
Au  0.5000  0.0000  0.5000

- Relative energy among the computed polymorphs: 0.0000 eV per atom
- M_tot: 0.0 μB/cell
- E: -3.33 eV per atom

---

## LiPtAu2 (GGA-PBE)

Data for LiPtAu2 after structural relaxation.

a = 3.1104 Å, b = 4.5862 Å, c = 4.5857 Å
α = 90.00°, β = 90.00°, γ = 90.00°
Space group Pmm2 (No. 25)
One atom of each set of equivalent atoms:
Li  0.0000  0.0000  0.0000
Pt  0.0000  0.5000  0.5039
Au  0.5000  0.0000  0.5009
Au  0.5000  0.5000  0.0039

- M_tot: 0.0 μB/cell
- E: -3.98 eV per atom